The following is a PBE calculation of Mn2TcBr after structural relaxation, from Alexandria via LeMat-Bulk. Values from VASP.

Geometry as Quantum ESPRESSO input:
```
&SYSTEM
  ibrav = 0, nat = 4, ntyp = 3
/
ATOMIC_SPECIES
Mn 54.94 Mn.upf
Tc 98.00 Tc.upf
Br 79.90 Br.upf
CELL_PARAMETERS angstrom
-1.355 1.380 2.428
2.262 -1.046 1.850
3.826 6.008 -1.280
ATOMIC_POSITIONS angstrom
Mn 0.152 0.239 -0.051
Tc 1.410 1.669 1.819
Mn 1.761 2.765 -0.589
Br 3.323 4.673 1.179
```

- SG: Cmmm (65)


The following is a PBE calculation of Mn2TcBr after structural relaxation, from Alexandria via LeMat-Bulk. Values from VASP.

Geometry as Quantum ESPRESSO input:
```
&SYSTEM
  ibrav = 0, nat = 4, ntyp = 3
/
ATOMIC_SPECIES
Mn 54.94 Mn.upf
Tc 98.00 Tc.upf
Br 79.90 Br.upf
CELL_PARAMETERS angstrom
-3.286 1.702 -0.445
-2.538 -0.450 -2.692
-4.992 -4.313 2.468
ATOMIC_POSITIONS angstrom
Mn -8.180 -2.147 -0.667
Mn -4.761 -4.109 2.350
Tc -5.988 -1.861 -0.212
Br -2.285 -0.788 -0.007
```

- SG: Cm (8)


The following is a PBE calculation of MnTcBr after structural relaxation, from Alexandria via LeMat-Bulk. Values from VASP.

Geometry as Quantum ESPRESSO input:
```
&SYSTEM
  ibrav = 0, nat = 3, ntyp = 3
/
ATOMIC_SPECIES
Br 79.90 Br.upf
Tc 98.00 Tc.upf
Mn 54.94 Mn.upf
CELL_PARAMETERS angstrom
-0.908 -5.476 -2.390
0.526 -6.015 0.231
-2.609 -0.946 1.231
ATOMIC_POSITIONS angstrom
Br -0.405 -11.386 -2.125
Tc -1.898 -4.314 0.148
Mn -1.071 -8.229 -1.110
```

- SG: I4mm (107)


The following is a PBE calculation of Mn2TcBr after structural relaxation, from Alexandria via LeMat-Bulk. Values from VASP.

Geometry as Quantum ESPRESSO input:
```
&SYSTEM
  ibrav = 0, nat = 4, ntyp = 3
/
ATOMIC_SPECIES
Br 79.90 Br.upf
Tc 98.00 Tc.upf
Mn 54.94 Mn.upf
CELL_PARAMETERS angstrom
-4.442 -6.251 3.124
-2.943 -5.277 5.662
-5.559 -3.865 4.766
ATOMIC_POSITIONS angstrom
Br -9.708 -11.545 10.164
Tc -3.236 -3.848 3.388
Mn -12.894 -15.334 13.500
Mn -6.522 -7.756 6.828
```

- SG: R-3m (166)


The following is a PBE calculation of Mn2TcBr after structural relaxation, from Alexandria via LeMat-Bulk. Values from VASP.

Geometry as Quantum ESPRESSO input:
```
&SYSTEM
  ibrav = 0, nat = 4, ntyp = 3
/
ATOMIC_SPECIES
Mn 54.94 Mn.upf
Br 79.90 Br.upf
Tc 98.00 Tc.upf
CELL_PARAMETERS angstrom
3.067 0.000 0.000
0.000 4.698 0.000
0.000 0.000 4.698
ATOMIC_POSITIONS angstrom
Mn 0.000 2.349 2.349
Mn 0.000 0.000 0.000
Br 1.534 0.000 2.349
Tc 1.534 2.349 0.000
```

- SG: P4/mmm (123)


The following is a PBE calculation of Mn2TcBr after structural relaxation, from Alexandria via LeMat-Bulk. Values from VASP.

Geometry as Quantum ESPRESSO input:
```
&SYSTEM
  ibrav = 0, nat = 4, ntyp = 3
/
ATOMIC_SPECIES
Br 79.90 Br.upf
Tc 98.00 Tc.upf
Mn 54.94 Mn.upf
CELL_PARAMETERS angstrom
6.763 1.253 -0.274
4.443 5.250 0.274
-5.317 -3.743 2.256
ATOMIC_POSITIONS angstrom
Br 2.929 2.708 1.265
Tc 5.486 3.184 0.000
Mn 2.651 -0.126 0.991
Mn 0.424 0.246 0.000
```

- SG: Imm2 (44)


Number 1: DOS at the Fermi energy 2.733 states/eV/f.u., E_tot -7.221 eV/atom, offset from the most stable computed form 75 meV per atom. Number 2: DOS at the Fermi energy 1.352 states/eV/f.u., E_tot -7.131 eV/atom, offset from the most stable computed form 164 meV per atom. Number 3: DOS at the Fermi energy 3.029 states/eV/f.u., E_tot -6.517 eV/atom, offset from the most stable computed form 103 meV per atom. Number 4: DOS at the Fermi energy 2.839 states/eV/f.u., E_tot -7.202 eV/atom, offset from the most stable computed form 94 meV per atom. Number 5: DOS at the Fermi energy 3.446 states/eV/f.u., E_tot -6.836 eV/atom, offset from the most stable computed form 460 meV per atom. Number 6: DOS at the Fermi energy 3.598 states/eV/f.u., E_tot -7.029 eV/atom, offset from the most stable computed form 267 meV per atom.